1.
Below is a geometry-optimized Cs3KAg2F9 structure, with properties calculated at the PBE level.

Computed properties:
Formation energy without anion corrections, meV/atom: -2051
V, Å³/atom: 19.57
Space-group type: No. 164

Unit cell a=6.4947 b=6.4947 c=8.0344 alpha=90.00 beta=90.00 gamma=120.00
Atoms (fractional coordinates):
Cs 0.6667 0.3333 0.3442
Cs 0.3333 0.6667 0.6558
Cs 0.0000 0.0000 0.0000
F 0.3573 0.1786 0.6959
F 0.1786 0.8214 0.3041
F 0.5000 0.0000 0.0000
F 0.5000 0.5000 0.0000
F 0.8214 0.1786 0.6959
F 0.8214 0.6427 0.6959
F 0.0000 0.5000 0.0000
F 0.6427 0.8214 0.3041
F 0.1786 0.3573 0.3041
K 0.0000 0.0000 0.5000
Ag 0.3333 0.6667 0.1475
Ag 0.6667 0.3333 0.8525

2.
Below is a geometry-optimized HoThS2 structure, with properties calculated at the PBE level.

Computed properties:
Formation energy without anion corrections, meV/atom: -1902
V, Å³/atom: 22.02
Space-group type: No. 166
ΔE to the lowest computed polymorph, eV/f.u.: 0.000

Unit cell a=3.8890 b=3.8890 c=7.0903 alpha=74.08 beta=74.08 gamma=60.00
Atoms (fractional coordinates):
Ho 0.5000 0.5000 0.5000
S 0.7561 0.7561 0.7318
S 0.2439 0.2439 0.2682
Th 0.0000 0.0000 0.0000

3.
Below is a geometry-optimized Ce2HfGa structure, with properties calculated at the PBE level.

Computed properties:
ΔH_f (0 K), eV/atom: -0.199
V, Å³/atom: 22.60
Space-group type: No. 123
ΔE to the lowest computed polymorph, eV/f.u.: 0.000

Unit cell a=4.9213 b=4.2857 c=4.2857 alpha=90.00 beta=90.00 gamma=90.00
Atoms (fractional coordinates):
Ce 0.0000 0.5000 0.0000
Ce 0.0000 0.0000 0.5000
Hf 0.5000 0.0000 0.0000
Ga 0.5000 0.5000 0.5000

4.
Below is a geometry-optimized La4InPd2 structure, with properties calculated at the PBE level.

Computed properties:
ΔH_f (0 K), eV/atom: -0.484
V, Å³/atom: 30.74
Space-group type: No. 166

Unit cell a=5.1123 b=5.1123 c=9.9537 alpha=75.12 beta=75.12 gamma=60.00
Atoms (fractional coordinates):
La 0.7925 0.7925 0.6224
La 0.2075 0.2075 0.3776
La 0.6172 0.6172 0.1485
La 0.3828 0.3828 0.8515
Pd 0.1016 0.1016 0.6952
Pd 0.8984 0.8984 0.3048
In 0.0000 0.0000 0.0000

5.
Below is a geometry-optimized CsLi2P structure, with properties calculated at the PBE level.

Computed properties:
ΔH_f (0 K), eV/atom: -0.403
V, Å³/atom: 31.95
Space-group type: No. 141

Unit cell a=5.9658 b=5.9658 c=8.3291 alpha=69.01 beta=69.01 gamma=90.00
Atoms (fractional coordinates):
Li 0.3747 0.1250 0.2500
Li 0.8750 0.6247 0.7500
Li 0.3750 0.6253 0.7500
Li 0.3753 0.6250 0.2500
Cs 0.0000 0.0000 0.0000
Cs 0.7500 0.2500 0.5000
P 0.2500 0.7500 0.5000
P 0.5000 0.5000 0.0000

6.
Below is a geometry-optimized LiMnHPt2 structure, with properties calculated at the PBE level.

Computed properties:
V, Å³/atom: 12.06
Space-group type: No. 123
ΔE to the lowest computed polymorph, eV/f.u.: 0.000

Unit cell a=4.0004 b=4.0004 c=3.7684 alpha=90.00 beta=90.00 gamma=90.00
Atoms (fractional coordinates):
H 0.0000 0.0000 0.0000
Pt 0.5000 0.0000 0.0000
Pt 0.0000 0.5000 0.0000
Li 0.0000 0.0000 0.5000
Mn 0.5000 0.5000 0.5000

Number 1: density 4.66 g/cm3. Number 2: density 8.69 g/cm3. Number 3: density 9.71 g/cm3. Number 4: density 6.82 g/cm3. Number 5: density 2.31 g/cm3. Number 6: density 12.47 g/cm3.